Material: ZrCrCl4
Method: DFT, GGA-PBE
State: relaxed

```
data_ZrCrCl4
_cell_length_a 8.1390
_cell_length_b 8.1390
_cell_length_c 8.1390
_cell_angle_alpha 90.00
_cell_angle_beta 90.00
_cell_angle_gamma 90.00
_symmetry_space_group_name_H-M 'F -4 3 m'
_symmetry_Int_Tables_number 216
_symmetry_space_group_name_Hall 'F -4 2 3'
loop_
_atom_site_label
_atom_site_type_symbol
_atom_site_fract_x
_atom_site_fract_y
_atom_site_fract_z
Zr1 Zr 0.0000 0.0000 0.0000
Cr1 Cr 0.2500 0.2500 0.2500
Cl1 Cl 0.1250 0.1250 0.6250
```

=====

Material: CsCl2
Method: DFT, GGA-PBE
State: relaxed

```
data_CsCl2
_cell_length_a 4.6148
_cell_length_b 5.1004
_cell_length_c 10.5977
_cell_angle_alpha 93.02
_cell_angle_beta 90.73
_cell_angle_gamma 90.13
_symmetry_space_group_name_H-M 'P 1'
_symmetry_Int_Tables_number 1
_symmetry_space_group_name_Hall 'P 1'
loop_
_atom_site_label
_atom_site_type_symbol
_atom_site_fract_x
_atom_site_fract_y
_atom_site_fract_z
Cs1 Cs 0.0000 0.0000 0.0000
Cs2 Cs 0.0025 0.4709 0.6183
Cl1 Cl 0.5009 0.4696 0.8935
Cl2 Cl 0.5028 0.6100 0.1779
Cl3 Cl 0.5026 0.7742 0.3743
Cl4 Cl 0.5026 0.9693 0.5996
```

=====

Material: CsCl2
Method: DFT, GGA-PBE
State: relaxed

```
data_CsCl2
_cell_length_a 5.3664
_cell_length_b 9.2591
_cell_length_c 4.7644
_cell_angle_alpha 90.00
_cell_angle_beta 90.39
_cell_angle_gamma 90.00
_symmetry_space_group_name_H-M 'C 1 2/m 1'
_symmetry_Int_Tables_number 12
_symmetry_space_group_name_Hall '-C 2y'
loop_
_atom_site_label
_atom_site_type_symbol
_atom_site_fract_x
_atom_site_fract_y
_atom_site_fract_z
Cs1 Cs 0.0000 0.0000 0.0000
Cl1 Cl 0.2500 0.2500 0.5000
```

=====

Material: CsCl2
Method: DFT, GGA-PBE
State: relaxed

```
data_CsCl2
_cell_length_a 4.7169
_cell_length_b 5.3662
_cell_length_c 10.1271
_cell_angle_alpha 85.95
_cell_angle_beta 89.55
_cell_angle_gamma 89.95
_symmetry_space_group_name_H-M 'P 1'
_symmetry_Int_Tables_number 1
_symmetry_space_group_name_Hall 'P 1'
loop_
_atom_site_label
_atom_site_type_symbol
_atom_site_fract_x
_atom_site_fract_y
_atom_site_fract_z
Cs1 Cs 0.0000 0.0000 0.0000
Cs2 Cs 0.0084 0.3881 0.5511
Cl1 Cl 0.4989 0.4976 0.0759
Cl2 Cl 0.5040 0.2142 0.7810
Cl3 Cl 0.5043 0.6930 0.2730
Cl4 Cl 0.5100 0.8923 0.4730
```

=====

Material: CsCl5
Method: DFT, GGA-PBE
State: relaxed

```
data_CsCl5
_cell_length_a 10.5112
_cell_length_b 6.1240
_cell_length_c 9.2402
_cell_angle_alpha 90.00
_cell_angle_beta 106.30
_cell_angle_gamma 90.00
_symmetry_space_group_name_H-M 'C 1 m 1'
_symmetry_Int_Tables_number 8
_symmetry_space_group_name_Hall 'C -2y'
loop_
_atom_site_label
_atom_site_type_symbol
_atom_site_fract_x
_atom_site_fract_y
_atom_site_fract_z
Cs1 Cs 0.0000 0.0000 0.0000
Cl1 Cl 0.0544 0.5000 0.2510
Cl2 Cl 0.1385 0.5000 0.8754
Cl3 Cl 0.1958 0.5000 0.6651
Cl4 Cl 0.2598 0.5000 0.4317
Cl5 Cl 0.3564 0.0000 0.0705
```

=====

Material: CsCl2
Method: DFT, GGA-PBE
State: relaxed

```
data_CsCl2
_cell_length_a 8.8326
_cell_length_b 6.6592
_cell_length_c 8.5677
_cell_angle_alpha 90.00
_cell_angle_beta 92.47
_cell_angle_gamma 90.00
_symmetry_space_group_name_H-M 'C 1 2/m 1'
_symmetry_Int_Tables_number 12
_symmetry_space_group_name_Hall '-C 2y'
loop_
_atom_site_label
_atom_site_type_symbol
_atom_site_fract_x
_atom_site_fract_y
_atom_site_fract_z
Cs1 Cs 0.2028 0.0000 0.2712
Cl1 Cl 0.0909 0.5000 0.0937
Cl2 Cl 0.1852 0.0000 0.6777
```

=====

Material: Cs3Cl
Method: DFT, GGA-PBE
State: relaxed

```
data_Cs3Cl
_cell_length_a 4.6973
_cell_length_b 15.1652
_cell_length_c 8.9557
_cell_angle_alpha 90.00
_cell_angle_beta 90.00
_cell_angle_gamma 90.00
_symmetry_space_group_name_H-M 'I m m 2'
_symmetry_Int_Tables_number 44
_symmetry_space_group_name_Hall 'I 2 -2'
loop_
_atom_site_label
_atom_site_type_symbol
_atom_site_fract_x
_atom_site_fract_y
_atom_site_fract_z
Cs1 Cs 0.0000 0.0000 0.0000
Cs2 Cs 0.0000 0.1544 0.5511
Cl1 Cl 0.0000 0.5000 0.2012
```

=====

Material: CsCl6
Method: DFT, GGA-PBE
State: relaxed

```
data_CsCl6
_cell_length_a 7.9376
_cell_length_b 7.9376
_cell_length_c 7.9376
_cell_angle_alpha 90.00
_cell_angle_beta 90.00
_cell_angle_gamma 90.00
_symmetry_space_group_name_H-M 'I m -3 m'
_symmetry_Int_Tables_number 229
_symmetry_space_group_name_Hall '-I 4 2 3'
loop_
_atom_site_label
_atom_site_type_symbol
_atom_site_fract_x
_atom_site_fract_y
_atom_site_fract_z
Cs1 Cs 0.0000 0.0000 0.0000
Cl1 Cl 0.0000 0.2500 0.5000
```

=====

It is found that the uncorrected formation energy values, taken in the order of the records, are 0.556; -1.330; -1.290; -1.327; -0.686; -1.350; -0.912; 0.002 eV/atom.
It is found that the magnetization values, taken in the order of the records, are 24.997; 0.000; 0.000; 0.000; 0.000; 0.000; 0.000; 0.004 μB/cell.
It is found that the E values, taken in the order of the records, are -3.70; -2.85; -2.81; -2.84; -2.37; -2.87; -2.01; -1.70 eV per atom.